Record 1
# SmN2 (PBE, relaxed)
# - total energy (eV per atom) = -6.513
data_SmN2
_chemical_formula_sum 'Sm2 N4'
_space_group_name_H-M_alt 'P 42/m n m'
_space_group_IT_number 136
_space_group_name_Hall '-P 4n 2n'
_cell_length_a 5.306
_cell_length_b 5.306
_cell_length_c 3.892
_cell_angle_alpha 90.00
_cell_angle_beta 90.00
_cell_angle_gamma 90.00
loop_
_atom_site_label
_atom_site_type_symbol
_atom_site_fract_x
_atom_site_fract_y
_atom_site_fract_z
_atom_site_occupancy
Sm1 Sm 0.000 0.000 0.000 1
N1 N 0.185 0.185 0.500 1

Record 2
# DySiPd (PBE, relaxed)
# - total energy (eV per atom) = -5.753
data_DySiPd
_chemical_formula_sum 'Dy4 Si4 Pd4'
_space_group_name_H-M_alt 'F -4 3 m'
_space_group_IT_number 216
_space_group_name_Hall 'F -4 2 3'
_cell_length_a 6.353
_cell_length_b 6.353
_cell_length_c 6.353
_cell_angle_alpha 90.00
_cell_angle_beta 90.00
_cell_angle_gamma 90.00
loop_
_atom_site_label
_atom_site_type_symbol
_atom_site_fract_x
_atom_site_fract_y
_atom_site_fract_z
_atom_site_occupancy
Dy1 Dy 0.000 0.000 0.000 1
Si1 Si 0.000 0.000 0.500 1
Pd1 Pd 0.250 0.250 0.250 1

Record 3
# PrNd2Cd3PdAu2 (PBE, relaxed)
# - formation enthalpy at 0 K (eV per atom) = -0.6630
data_PrNd2Cd3PdAu2
_chemical_formula_sum 'Pr2 Nd4 Cd6 Pd2 Au4'
_space_group_name_H-M_alt 'A m m 2'
_space_group_IT_number 38
_space_group_name_Hall 'A 2 -2'
_cell_length_a 3.999
_cell_length_b 13.725
_cell_length_c 7.918
_cell_angle_alpha 90.00
_cell_angle_beta 90.00
_cell_angle_gamma 90.00
loop_
_atom_site_label
_atom_site_type_symbol
_atom_site_fract_x
_atom_site_fract_y
_atom_site_fract_z
_atom_site_occupancy
Pr1 Pr 0.000 0.000 0.000 1
Nd1 Nd 0.000 0.201 0.397 1
Cd1 Cd 0.500 0.000 0.347 1
Cd2 Cd 0.500 0.126 0.723 1
Pd1 Pd 0.000 0.000 0.598 1
Au1 Au 0.500 0.168 0.099 1

Record 4
# PrCo3P2 (PBE, relaxed)
# - ΔE to the lowest computed polymorph (eV per formula unit) = 0.00
data_PrCo3P2
_chemical_formula_sum 'Pr6 Co18 P12'
_space_group_name_H-M_alt 'P m m n'
_space_group_IT_number 59
_cell_length_a 3.775
_cell_length_b 10.664
_cell_length_c 12.382
_cell_angle_alpha 90.00
_cell_angle_beta 90.00
_cell_angle_gamma 90.00
loop_
_space_group_symop_operation_xyz
'x,y,z'
'-x,-y,-z'
'-x+1/2,-y+1/2,z'
'x+1/2,y+1/2,-z'
'x+1/2,-y,-z'
'-x+1/2,y,z'
'-x,y+1/2,-z'
'x,-y+1/2,z'
loop_
_atom_site_label
_atom_site_type_symbol
_atom_site_fract_x
_atom_site_fract_y
_atom_site_fract_z
_atom_site_occupancy
Pr1 Pr 0.250 0.067 0.206 1
Pr2 Pr 0.250 0.250 0.479 1
Co1 Co 0.250 0.132 0.712 1
Co2 Co 0.250 0.250 0.013 1
Co3 Co 0.250 0.548 0.430 1
Co4 Co 0.250 0.584 0.996 1
Co5 Co 0.250 0.750 0.157 1
Co6 Co 0.250 0.750 0.705 1
P1 P 0.250 0.099 0.896 1
P2 P 0.250 0.555 0.614 1
P3 P 0.250 0.750 0.338 1
P4 P 0.250 0.750 0.887 1